1.
The following is a DFT calculation (PBE) of crystalline Sr2InPbSe5 at its relaxed geometry.

Output
Symmetry   Cmc2_1, No. 36

Cell: 4.239 9.822 12.872 Å, 90.00 90.00 102.46°
Element x y z (fractional)
Sr (0.876, 0.753, 0.810)
Sr (0.108, 0.215, 0.674)
Sr (0.124, 0.247, 0.310)
Sr (0.892, 0.785, 0.174)
In (0.561, 0.122, 0.943)
In (0.439, 0.878, 0.443)
Pb (0.777, 0.555, 0.526)
Pb (0.223, 0.445, 0.026)
Se (0.367, 0.735, 0.996)
Se (0.690, 0.381, 0.859)
Se (0.497, 0.995, 0.768)
Se (0.275, 0.551, 0.686)
Se (0.952, 0.904, 0.563)
Se (0.633, 0.265, 0.496)
Se (0.310, 0.619, 0.359)
Se (0.503, 0.005, 0.268)
Se (0.725, 0.449, 0.186)
Se (0.048, 0.096, 0.063)

2.
The following is a DFT calculation (PBE) of crystalline Sr2InPbSe4 at its relaxed geometry.

Output
Symmetry   Imma, No. 74

Cell: 8.798 8.798 8.796 Å, 119.99 119.99 90.01°
Element x y z (fractional)
Sr (0.500, 0.000, 0.000)
Sr (0.500, 0.000, 0.500)
Sr (0.000, 0.000, 0.500)
Sr (0.500, 0.500, 0.000)
In (0.500, 0.500, 0.500)
In (0.000, 0.000, 0.000)
Pb (0.000, 0.500, 0.000)
Pb (0.000, 0.500, 0.500)
Se (0.247, 0.754, 0.000)
Se (0.746, 0.253, 0.500)
Se (0.254, 0.747, 0.500)
Se (0.753, 0.246, 0.000)
Se (0.750, 0.750, 0.994)
Se (0.750, 0.750, 0.506)
Se (0.250, 0.250, 0.494)
Se (0.250, 0.250, 0.006)

3.
The following is a DFT calculation (PBE) of crystalline TbInPb2Se5 at its relaxed geometry.

Output
Symmetry   Cmc2_1, No. 36

Cell: 4.165 9.662 13.406 Å, 90.00 90.00 102.45°
Element x y z (fractional)
Tb (0.798, 0.597, 0.521)
Tb (0.202, 0.403, 0.021)
In (0.549, 0.098, 0.934)
In (0.451, 0.902, 0.434)
Pb (0.872, 0.745, 0.820)
Pb (0.139, 0.278, 0.668)
Pb (0.128, 0.255, 0.320)
Pb (0.861, 0.722, 0.168)
Se (0.352, 0.705, 0.014)
Se (0.684, 0.369, 0.872)
Se (0.479, 0.958, 0.771)
Se (0.294, 0.587, 0.671)
Se (0.956, 0.912, 0.554)
Se (0.648, 0.295, 0.514)
Se (0.316, 0.631, 0.372)
Se (0.521, 0.042, 0.271)
Se (0.706, 0.413, 0.171)
Se (0.044, 0.088, 0.054)

4.
The following is a DFT calculation (PBE) of crystalline InTe2PbSe at its relaxed geometry.

Output
Symmetry   P4/mmm, No. 123

Cell: 5.835 5.415 5.835 Å, 90.00 90.00 90.00°
Element x y z (fractional)
Pb (0.500, 0.500, 0.500)
Te (0.000, 0.000, 0.500)
Te (0.500, 0.000, 0.000)
Se (0.000, 0.000, 0.000)
In (0.000, 0.500, 0.000)

5.
The following is a DFT calculation (PBE) of crystalline In2TePbSe at its relaxed geometry.

Output
Symmetry   P4/mmm, No. 123

Cell: 5.954 5.716 5.954 Å, 90.00 90.00 90.00°
Element x y z (fractional)
Pb (0.000, 0.000, 0.000)
Te (0.000, 0.500, 0.000)
Se (0.500, 0.500, 0.500)
In (0.000, 0.000, 0.500)
In (0.500, 0.000, 0.000)

6.
The following is a DFT calculation (PBE) of crystalline TlInPbSe3 at its relaxed geometry.

Output
Symmetry   P2_1/m, No. 11

Cell: 4.349 9.224 10.470 Å, 100.77 90.00 90.00°
Element x y z (fractional)
Tl (0.250, 0.213, 0.213)
Tl (0.750, 0.787, 0.787)
In (0.250, 0.083, 0.632)
In (0.750, 0.917, 0.368)
Pb (0.250, 0.656, 0.117)
Pb (0.750, 0.344, 0.883)
Se (0.750, 0.909, 0.125)
Se (0.250, 0.091, 0.875)
Se (0.250, 0.811, 0.477)
Se (0.750, 0.189, 0.523)
Se (0.750, 0.431, 0.157)
Se (0.250, 0.569, 0.843)

| no. | formation energy (no corrections) (eV per atom) |
| --- | --- |
| 1 | -1.129 |
| 2 | -1.203 |
| 3 | -0.904 |
| 4 | 0.198 |
| 5 | 0.503 |
| 6 | -0.473 |